Density functional theory data (PBEsol) for BaPCl2 after structural relaxation.

Cell: 5.526 5.526 4.886 Å, 55.57 55.57 60.00°
Atoms (fractional coordinates):
Ba 0.000 0.000 0.000
Cl 0.286 0.286 0.141
Cl 0.714 0.714 0.859
P 0.500 0.500 0.500

Symmetry   R-3m
E above lowest polymorph   0.0 meV/atom
ΔE_f (raw)   -1133 meV/atom
Energy   -16.49 eV/cell

=====

Density functional theory data (PBEsol) for BaPCl3 after structural relaxation.

Cell: 5.930 5.930 5.930 Å, 90.00 90.00 90.00°
Atoms (fractional coordinates):
P 0.500 0.500 0.500
Ba 0.000 0.000 0.000
Cl 0.000 0.500 0.000
Cl 0.000 0.000 0.500
Cl 0.500 0.000 0.000

Symmetry   Pm-3m
ΔE_f (raw)   -512 meV/atom
Energy   -16.52 eV/cell